The following is a PBE with a Hubbard U calculation of an optimized crystal structure of LaCoN2F, from Alexandria via LeMat-Bulk.

Cell lengths 4.4000, 4.4000, 4.6029 Å; angles 90.00, 90.00, 90.00 degrees
Last column: nearest neighbours and their distance in Å.
Sites, in units of the cell vectors:
N 0.5000 0.0000 0.0000  2 La 2.20
Co 0.5000 0.5000 0.5000  4 F 3.11, 8 N 3.18
N 0.0000 0.5000 0.0000  2 La 2.20
F 0.0000 0.0000 0.5000  2 La 2.30
La 0.0000 0.0000 0.0000  4 N 2.20, 2 F 2.30

The spin magnetization comes out at 2.500 μB/cell. The total energy is -5.405 eV/atom. The calculation puts the energy above the lowest structure with this stoichiometry at 1200 meV/atom.